1.
Below is crystalline NpFeTc at its relaxed geometry, with properties calculated at the PBE-GGA level.

abc: 6.5412 6.5412 6.5412
angles: 156.16 156.16 33.96
Fractional positions:
1 Np 0.0000 0.0000 0.0000
2 Fe 0.6722 0.6722 0.0000
3 Tc 0.2988 0.2988 0.0000

Results
- E above lowest polymorph (meV per atom) = 0.0
- DFT total energy (eV per atom) = -10.3251
- formation enthalpy at 0 K (eV per atom) = 0.2647
- magnetic moment (μB/cell) = 2.048
- density (g/cm3) = 14.2

---

2.
Below is crystalline NpTiFeTc at its relaxed geometry, with properties calculated at the PBE-GGA level.

abc: 4.4991 4.4991 4.4991
angles: 60.00 60.00 60.00
Fractional positions:
1 Np 0.0000 0.0000 0.0000
2 Ti 0.5000 0.5000 0.5000
3 Fe 0.2500 0.2500 0.2500
4 Tc 0.7500 0.7500 0.7500

Results
- DFT total energy (eV per atom) = -9.9552
- formation enthalpy at 0 K (eV per atom) = -0.0391
- magnetic moment (μB/cell) = 2.525
- density (g/cm3) = 11.3

---

3.
Below is crystalline NpZnFeTc at its relaxed geometry, with properties calculated at the PBE-GGA level.

abc: 4.4612 4.4612 4.4612
angles: 60.00 60.00 60.00
Fractional positions:
1 Np 0.0000 0.0000 0.0000
2 Zn 0.5000 0.5000 0.5000
3 Fe 0.2500 0.2500 0.2500
4 Tc 0.7500 0.7500 0.7500

Results
- DFT total energy (eV per atom) = -8.1244
- formation enthalpy at 0 K (eV per atom) = 0.1364
- magnetic moment (μB/cell) = 1.238
- density (g/cm3) = 12.1

---

4.
Below is crystalline ZrNpFeTc at its relaxed geometry, with properties calculated at the PBE-GGA level.

abc: 4.6490 4.6490 4.6490
angles: 60.00 60.00 60.00
Fractional positions:
1 Zr 0.0000 0.0000 0.0000
2 Np 0.5000 0.5000 0.5000
3 Fe 0.7500 0.7500 0.7500
4 Tc 0.2500 0.2500 0.2500

Results
- DFT total energy (eV per atom) = -10.0639
- formation enthalpy at 0 K (eV per atom) = 0.0155
- magnetic moment (μB/cell) = 2.074
- density (g/cm3) = 11.3